A relaxed MgH2Pd2 crystal. Source: the Alexandria database, functional PBEsol.

Cell and atoms, written as POSCAR:
```
MgH2Pd2
1.0
5.597 0.000 0.000
0.000 5.597 0.000
0.000 0.000 3.507
Mg H Pd
2 4 4
Direct
0.000 0.000 0.000 Mg
0.500 0.500 0.000 Mg
0.153 0.347 0.000 H
0.347 0.847 0.000 H
0.653 0.153 0.000 H
0.847 0.653 0.000 H
0.172 0.328 0.500 Pd
0.328 0.828 0.500 Pd
0.672 0.172 0.500 Pd
0.828 0.672 0.500 Pd
```

Computed properties:
As for the space-group type: No. 127. Its energy relative to the lowest polymorph listed for this composition is 86.7 meV per atom. The density of states at the Fermi level comes out at 0.261 states/eV/atom. The theoretical density is 7.2 Mg/m³. The calculation puts the total energy at -43.2 eV/cell.

***

A relaxed MgH2Pd2 crystal. Source: the Alexandria database, functional PBEsol.

Cell and atoms, written as POSCAR:
```
MgH2Pd2
1.0
-1.652 1.652 4.810
1.652 -1.652 4.810
1.652 1.652 -4.810
Mg H Pd
1 2 2
Direct
0.000 0.000 0.000 Mg
0.250 0.750 0.500 H
0.750 0.250 0.500 H
0.344 0.344 0.000 Pd
0.656 0.656 0.000 Pd
```

Computed properties:
As for the space-group type: No. 139. Its energy relative to the lowest polymorph listed for this composition is 0.0 meV per atom. The density of states at the Fermi level comes out at 0.220 states/eV/atom. The theoretical density is 7.6 Mg/m³. The calculation puts the total energy at -22.0 eV/cell.

***

A relaxed RbMgH3 crystal. Source: the Alexandria database, functional PBEsol.

Cell and atoms, written as POSCAR:
```
RbMgH3
1.0
5.836 0.000 0.000
-2.918 5.054 0.000
0.000 0.000 14.191
Rb Mg H
6 6 18
Direct
0.000 0.000 0.250 Rb
0.000 0.000 0.750 Rb
0.333 0.667 0.095 Rb
0.333 0.667 0.405 Rb
0.667 0.333 0.595 Rb
0.667 0.333 0.905 Rb
0.000 0.000 0.000 Mg
0.000 0.000 0.500 Mg
0.333 0.667 0.654 Mg
0.333 0.667 0.846 Mg
0.667 0.333 0.154 Mg
0.667 0.333 0.346 Mg
0.043 0.521 0.750 H
0.166 0.332 0.580 H
0.166 0.332 0.920 H
0.166 0.834 0.580 H
0.166 0.834 0.920 H
0.332 0.166 0.080 H
0.332 0.166 0.420 H
0.479 0.521 0.750 H
0.479 0.957 0.750 H
0.521 0.043 0.250 H
0.521 0.479 0.250 H
0.668 0.834 0.580 H
0.668 0.834 0.920 H
0.834 0.166 0.080 H
0.834 0.166 0.420 H
0.834 0.668 0.080 H
0.834 0.668 0.420 H
0.957 0.479 0.250 H
```

Computed properties:
As for the space-group type: No. 194. The density of states at the Fermi level comes out at 0.000 states/eV/atom. The theoretical density is 2.7 Mg/m³. The calculation puts the total energy at -83.4 eV/cell.

***

A relaxed Rb3MgH crystal. Source: the Alexandria database, functional PBEsol.

Cell and atoms, written as POSCAR:
```
Rb3MgH
1.0
5.953 0.000 0.000
0.000 5.953 0.000
0.000 0.000 5.953
Rb Mg H
3 1 1
Direct
0.000 0.000 0.500 Rb
0.000 0.500 0.000 Rb
0.500 0.000 0.000 Rb
0.500 0.500 0.500 Mg
0.000 0.000 0.000 H
```

Computed properties:
As for the space-group type: No. 221. The density of states at the Fermi level comes out at 0.819 states/eV/atom. The theoretical density is 2.2 Mg/m³. The calculation puts the total energy at -7.6 eV/cell.

***

A relaxed Rb2MgH4 crystal. Source: the Alexandria database, functional PBEsol.

Cell and atoms, written as POSCAR:
```
Rb2MgH4
1.0
4.036 -5.184 0.000
4.036 5.184 0.000
0.000 0.000 8.697
Rb Mg H
4 2 8
Direct
0.000 0.000 0.000 Rb
0.000 0.000 0.500 Rb
0.414 0.586 0.750 Rb
0.586 0.414 0.250 Rb
0.243 0.757 0.250 Mg
0.757 0.243 0.750 Mg
0.051 0.281 0.750 H
0.281 0.051 0.250 H
0.336 0.664 0.071 H
0.336 0.664 0.429 H
0.664 0.336 0.571 H
0.664 0.336 0.929 H
0.719 0.949 0.750 H
0.949 0.719 0.250 H
```

Computed properties:
As for the space-group type: No. 63. The density of states at the Fermi level comes out at 0.000 states/eV/atom. The theoretical density is 1.8 Mg/m³. The calculation puts the total energy at -35.6 eV/cell.

***

A relaxed Rb2MgH4 crystal. Source: the Alexandria database, functional PBEsol.

Cell and atoms, written as POSCAR:
```
Rb2MgH4
1.0
8.040 0.000 0.000
0.000 6.217 0.000
0.000 0.000 11.014
Rb Mg H
8 4 16
Direct
0.008 0.250 0.198 Rb
0.150 0.750 0.417 Rb
0.350 0.250 0.917 Rb
0.492 0.750 0.698 Rb
0.508 0.250 0.302 Rb
0.650 0.750 0.083 Rb
0.850 0.250 0.583 Rb
0.992 0.750 0.802 Rb
0.222 0.750 0.080 Mg
0.278 0.250 0.580 Mg
0.722 0.750 0.420 Mg
0.778 0.250 0.920 Mg
0.007 0.250 0.920 H
0.185 0.250 0.425 H
0.194 0.008 0.654 H
0.194 0.492 0.654 H
0.306 0.508 0.154 H
0.306 0.992 0.154 H
0.315 0.750 0.925 H
0.493 0.750 0.420 H
0.507 0.250 0.580 H
0.685 0.250 0.075 H
0.694 0.008 0.846 H
0.694 0.492 0.846 H
0.806 0.508 0.346 H
0.806 0.992 0.346 H
0.815 0.750 0.575 H
0.993 0.750 0.080 H
```

Computed properties:
As for the space-group type: No. 62. The density of states at the Fermi level comes out at 0.000 states/eV/atom. The theoretical density is 2.4 Mg/m³. The calculation puts the total energy at -73.4 eV/cell.

***

A relaxed Rb4Mg3H10 crystal. Source: the Alexandria database, functional PBEsol.

Cell and atoms, written as POSCAR:
```
Rb4Mg3H10
1.0
2.973 -6.975 0.000
2.973 6.975 0.000
0.000 0.000 13.294
Rb Mg H
8 6 20
Direct
0.038 0.962 0.860 Rb
0.242 0.758 0.605 Rb
0.258 0.742 0.105 Rb
0.462 0.538 0.360 Rb
0.538 0.462 0.640 Rb
0.742 0.258 0.895 Rb
0.758 0.242 0.395 Rb
0.962 0.038 0.140 Rb
0.000 0.000 0.500 Mg
0.126 0.874 0.345 Mg
0.374 0.626 0.845 Mg
0.500 0.500 0.000 Mg
0.626 0.374 0.155 Mg
0.874 0.126 0.655 Mg
0.025 0.975 0.646 H
0.117 0.318 0.538 H
0.135 0.365 0.750 H
0.182 0.383 0.962 H
0.239 0.761 0.856 H
0.261 0.739 0.356 H
0.318 0.117 0.462 H
0.365 0.135 0.250 H
0.383 0.182 0.038 H
0.475 0.525 0.146 H
0.525 0.475 0.854 H
0.617 0.818 0.962 H
0.635 0.865 0.750 H
0.682 0.883 0.538 H
0.739 0.261 0.644 H
0.761 0.239 0.144 H
0.818 0.617 0.038 H
0.865 0.635 0.250 H
0.883 0.682 0.462 H
0.975 0.025 0.354 H
```

Computed properties:
As for the space-group type: No. 64. The density of states at the Fermi level comes out at 0.000 states/eV/atom. The theoretical density is 2.6 Mg/m³. The calculation puts the total energy at -92.8 eV/cell.

***

A relaxed MgHRh3 crystal. Source: the Alexandria database, functional PBEsol.

Cell and atoms, written as POSCAR:
```
MgHRh3
1.0
3.887 0.000 0.000
0.000 3.887 0.000
0.000 0.000 3.887
Mg H Rh
1 1 3
Direct
0.000 0.000 0.000 Mg
0.500 0.500 0.500 H
0.000 0.500 0.500 Rh
0.500 0.000 0.500 Rh
0.500 0.500 0.000 Rh
```

Computed properties:
As for the space-group type: No. 221. The density of states at the Fermi level comes out at 0.544 states/eV/atom. The theoretical density is 9.4 Mg/m³. The calculation puts the total energy at -30.6 eV/cell.

***

A relaxed MgSn2HRh crystal. Source: the Alexandria database, functional PBEsol.

Cell and atoms, written as POSCAR:
```
MgSn2HRh
1.0
4.518 0.000 0.000
0.000 4.518 0.000
0.000 0.000 3.935
Mg Sn H Rh
1 2 1 1
Direct
0.000 0.000 0.000 Mg
0.000 0.500 0.500 Sn
0.500 0.000 0.500 Sn
0.000 0.000 0.500 H
0.500 0.500 0.000 Rh
```

Computed properties:
As for the space-group type: No. 123. The density of states at the Fermi level comes out at 0.438 states/eV/atom. The theoretical density is 7.6 Mg/m³. The calculation puts the total energy at -21.3 eV/cell.

***

A relaxed Mg2H6Ru crystal. Source: the Alexandria database, functional PBEsol.

Cell and atoms, written as POSCAR:
```
Mg2H6Ru
1.0
0.000 3.288 3.288
3.288 0.000 3.288
3.288 3.288 0.000
Mg H Ru
2 6 1
Direct
0.250 0.250 0.250 Mg
0.750 0.750 0.750 Mg
0.245 0.245 0.755 H
0.245 0.755 0.245 H
0.245 0.755 0.755 H
0.755 0.245 0.245 H
0.755 0.245 0.755 H
0.755 0.755 0.245 H
0.500 0.500 0.500 Ru
```

Computed properties:
As for the space-group type: No. 225. The density of states at the Fermi level comes out at 0.000 states/eV/atom. The theoretical density is 3.6 Mg/m³. The calculation puts the total energy at -36.8 eV/cell.

***

A relaxed MgHRu3 crystal. Source: the Alexandria database, functional PBEsol.

Cell and atoms, written as POSCAR:
```
MgHRu3
1.0
4.463 0.000 0.000
0.000 4.463 0.000
0.000 0.000 4.463
Mg H Ru
1 1 3
Direct
0.000 0.000 0.000 Mg
0.500 0.500 0.500 H
0.000 0.000 0.500 Ru
0.000 0.500 0.000 Ru
0.500 0.000 0.000 Ru
```

Computed properties:
As for the space-group type: No. 221. The density of states at the Fermi level comes out at 1.627 states/eV/atom. The theoretical density is 6.1 Mg/m³. The calculation puts the total energy at -21.6 eV/cell.

***

A relaxed Mg2H2S crystal. Source: the Alexandria database, functional PBEsol.

Cell and atoms, written as POSCAR:
```
Mg2H2S
1.0
-1.654 1.654 5.259
1.654 -1.654 5.259
1.654 1.654 -5.259
Mg H S
2 2 1
Direct
0.144 0.144 0.000 Mg
0.856 0.856 0.000 Mg
0.250 0.750 0.500 H
0.750 0.250 0.500 H
0.500 0.500 0.000 S
```

Computed properties:
As for the space-group type: No. 139. The density of states at the Fermi level comes out at 0.026 states/eV/atom. The theoretical density is 2.4 Mg/m³. The calculation puts the total energy at -17.2 eV/cell.

***

Q: density of states at the Fermi level of number 4 (Rb3MgH)?
A: 0.819 states/eV/atom

***

Copy entry 9 word for word.
A relaxed MgSn2HRh crystal. Source: the Alexandria database, functional PBEsol.

Cell and atoms, written as POSCAR:
```
MgSn2HRh
1.0
4.518 0.000 0.000
0.000 4.518 0.000
0.000 0.000 3.935
Mg Sn H Rh
1 2 1 1
Direct
0.000 0.000 0.000 Mg
0.000 0.500 0.500 Sn
0.500 0.000 0.500 Sn
0.000 0.000 0.500 H
0.500 0.500 0.000 Rh
```

Computed properties:
As for the space-group type: No. 123. The density of states at the Fermi level comes out at 0.438 states/eV/atom. The theoretical density is 7.6 Mg/m³. The calculation puts the total energy at -21.3 eV/cell.

***

Q: theoretical density of number 3 (RbMgH3)?
A: 2.7 Mg/m³

***

What did the eleventh record say?
A relaxed MgHRu3 crystal. Source: the Alexandria database, functional PBEsol.

Cell and atoms, written as POSCAR:
```
MgHRu3
1.0
4.463 0.000 0.000
0.000 4.463 0.000
0.000 0.000 4.463
Mg H Ru
1 1 3
Direct
0.000 0.000 0.000 Mg
0.500 0.500 0.500 H
0.000 0.000 0.500 Ru
0.000 0.500 0.000 Ru
0.500 0.000 0.000 Ru
```

Computed properties:
As for the space-group type: No. 221. The density of states at the Fermi level comes out at 1.627 states/eV/atom. The theoretical density is 6.1 Mg/m³. The calculation puts the total energy at -21.6 eV/cell.